Entry from the Alexandria database: crystalline MnInNO2 at its relaxed geometry (PBE with a Hubbard U).

Properties
The calculation puts the volume at 76.04 Å³/cell. The uncorrected energy comes out at -5.5161 eV per atom. As for the total moment: 3.0 μB per cell. Its space-group type is P4/mmm (123).

```
data_MnInNO2
_space_group_name_H-M_alt 'P 1'
_space_group_IT_number 1
_cell_length_a 4.229
_cell_length_b 4.229
_cell_length_c 4.251
_cell_angle_alpha 90.00
_cell_angle_beta 90.00
_cell_angle_gamma 90.00
loop_
_space_group_symop_operation_xyz
'x,y,z'
loop_
_atom_site_label
_atom_site_fract_x
_atom_site_fract_y
_atom_site_fract_z
_atom_site_occupancy
Mn1 0.000 0.000 0.000 1
In1 0.500 0.500 0.500 1
N1 0.500 0.500 0.000 1
O1 0.000 0.500 0.500 1
O2 0.500 0.000 0.500 1
```